No. 1
## Th5TlTc2 (PBE)

Data for an optimized crystal structure of Th5TlTc2.

```
Th5TlTc2
1.0
-1.350 6.951 -3.692
4.262 -2.503 -6.272
-7.175 -4.843 2.141
Th Tl Tc
10 2 4
Cartesian
-2.932 -1.681 -4.807
1.166 1.753 -8.476
0.000 0.000 0.000
1.456 2.224 -4.982
-5.430 -2.149 0.654
-5.314 0.861 -2.356
-3.049 -4.691 -1.797
1.050 -1.257 -5.466
-1.215 4.295 -6.025
-1.331 1.285 -3.015
-1.404 0.914 -6.402
-2.860 -1.310 -1.420
1.343 0.076 -2.774
-0.266 4.100 -3.245
3.178 0.347 -6.718
1.569 4.371 -7.190
```

Computed properties:
Crystal system: tetragonal
SG: I4/mcm, No. 140
Uncorrected energy: -123.44 eV for the cell shown
Energy of formation: -0.19 eV/atom



No. 2
## In2ReTc (PBE)

Data for an optimized crystal structure of In2ReTc.

```
In2ReTc
1.0
3.004 0.000 0.000
0.000 3.031 -0.017
0.000 1.561 8.360
In Re Tc
2 1 1
Cartesian
0.000 2.129 8.002
1.502 0.581 2.430
0.000 2.108 4.500
1.502 3.632 5.943
```

Computed properties:
Crystal system: orthorhombic
SG: Amm2, No. 38
Uncorrected energy: -27.80 eV for the cell shown
E above lowest polymorph: 0 meV per atom
Energy of formation: 0.12 eV/atom



No. 3
## LaCe3C8 (PBE)

Data for an optimized crystal structure of LaCe3C8.

```
LaCe3C8
1.0
6.275 0.000 1.168
-3.097 4.934 2.608
0.082 0.000 6.383
La Ce C
1 3 8
Cartesian
6.274 0.000 1.169
3.222 2.467 6.965
0.044 2.467 3.189
3.179 0.000 3.776
0.593 0.000 3.768
1.591 3.262 5.113
4.687 1.672 2.505
2.746 0.000 6.325
5.555 0.000 4.855
2.318 2.352 4.500
-0.778 2.581 7.108
2.520 0.000 1.250
```

Computed properties:
Crystal system: tetragonal
SG: I-42m, No. 121
Uncorrected energy: -95.25 eV for the cell shown
Energy of formation: 0.11 eV/atom



No. 4
## YTm6Tl (PBE)

Data for an optimized crystal structure of YTm6Tl.

```
YTm6Tl
1.0
3.488 0.000 -0.599
0.000 5.373 0.000
0.373 0.000 12.621
Y Tm Tl
1 6 1
Cartesian
0.674 2.686 3.923
1.905 2.686 0.637
1.939 0.000 11.289
1.239 2.686 7.213
2.648 0.000 4.959
3.505 2.686 9.948
0.342 0.000 1.990
3.192 0.000 8.130
```

Computed properties:
Crystal system: orthorhombic
SG: Amm2, No. 38
Uncorrected energy: -36.12 eV for the cell shown
E above lowest polymorph: 0 meV per atom
Energy of formation: -0.06 eV/atom



No. 5
## SmYHoSc (PBE)

Data for an optimized crystal structure of SmYHoSc.

```
SmYHoSc
1.0
-4.087 3.659 0.943
-4.375 -1.457 3.117
-0.656 2.194 5.073
Y Sc Ho Sm
1 1 1 1
Cartesian
-6.839 3.297 6.850
0.000 0.000 0.000
-4.559 2.198 4.567
-2.280 1.099 2.283
```

Computed properties:
Crystal system: cubic
SG: F-43m, No. 216
Uncorrected energy: -21.61 eV for the cell shown
E above lowest polymorph: 14 meV per atom
Energy of formation: 0.12 eV/atom



No. 6
## SrCaYTi2 (PBE)

Data for an optimized crystal structure of SrCaYTi2.

```
SrCaYTi2
1.0
-0.234 -3.490 3.886
5.213 -0.403 -0.047
0.360 4.205 3.799
Y Sr Ca Ti
1 1 1 2
Cartesian
0.180 2.103 1.900
2.669 0.156 3.819
0.000 0.000 0.000
2.606 -0.201 -0.024
-0.117 -1.745 1.943
```

Computed properties:
Crystal system: tetragonal
SG: P4/mmm, No. 123
Uncorrected energy: -19.85 eV for the cell shown
Energy of formation: 1.22 eV/atom



No. 7
## La6Dy2ErTm (PBE)

Data for an optimized crystal structure of La6Dy2ErTm.

```
La6Dy2ErTm
1.0
0.640 6.881 6.936
-8.175 2.588 -2.802
0.499 -6.890 5.802
La Dy Er Tm
12 4 2 2
Cartesian
-0.493 -4.600 4.449
-1.233 -2.414 7.603
-6.543 7.179 5.486
-5.804 4.993 2.333
-7.738 1.662 1.864
-4.468 2.776 -0.206
0.701 0.917 8.072
-2.568 -0.197 10.142
-5.440 -0.756 1.720
-3.746 1.894 2.933
-1.597 3.335 8.216
-3.290 0.685 7.003
-5.921 0.323 5.017
-2.252 -0.292 0.641
-1.115 2.256 4.919
-4.785 2.871 9.295
-7.803 4.076 -0.857
0.766 -1.497 10.793
-2.916 -1.264 3.990
-4.121 3.842 5.946
```

Computed properties:
Crystal system: monoclinic
SG: C2/c, No. 15
Uncorrected energy: -93.40 eV for the cell shown
Energy of formation: 0.11 eV/atom



No. 8
## Pr5Nd2HoSc (PBE)

Data for an optimized crystal structure of Pr5Nd2HoSc.

```
Pr5Nd2HoSc
1.0
8.490 0.000 0.000
0.000 8.490 0.000
-4.245 -4.245 8.660
Pr Nd Ho Sc
10 4 2 2
Cartesian
6.629 2.384 2.532
2.384 -1.861 6.128
-2.384 1.861 6.128
-1.861 -2.384 6.128
1.861 2.384 6.128
6.106 6.629 2.532
2.384 1.861 2.532
1.861 6.106 2.532
4.245 4.245 0.000
0.000 0.000 0.000
1.065 3.180 0.000
5.310 1.065 0.000
3.180 7.425 0.000
7.425 5.310 0.000
0.000 0.000 4.330
4.245 4.245 4.330
0.000 4.245 4.330
4.245 0.000 4.330
```

Computed properties:
Crystal system: tetragonal
SG: I4/mcm, No. 140
Uncorrected energy: -83.70 eV for the cell shown
Energy of formation: 0.28 eV/atom